1) Material: ZrSc2Rh
Method: DFT, meta-GGA SCAN
State: PBEsol geometry

a = 3.197 Å, b = 3.197 Å, c = 7.556 Å
α = 90.00°, β = 90.00°, γ = 90.00°
Fractional coordinates of all 4 atoms:
1 Sc 0.000 0.000 0.708
2 Sc 0.000 0.000 0.292
3 Rh 0.500 0.500 0.500
4 Zr 0.500 0.500 0.000

Properties
V	77.2	Å³/cell

2) Material: ZrSc2Rh
Method: DFT, meta-GGA SCAN
State: PBEsol geometry

a = 3.068 Å, b = 3.068 Å, c = 9.976 Å
α = 81.16°, β = 81.16°, γ = 60.00°
Fractional coordinates of all 4 atoms:
1 Sc 0.920 0.920 0.240
2 Sc 0.080 0.080 0.760
3 Rh 0.000 0.000 0.000
4 Zr 0.500 0.500 0.500

Properties
V	80.0	Å³/cell

3) Material: ZrSc2Rh
Method: DFT, meta-GGA SCAN
State: PBEsol geometry

a = 3.345 Å, b = 4.797 Å, c = 5.676 Å
α = 114.99°, β = 107.14°, γ = 90.00°
Fractional coordinates of all 4 atoms:
1 Sc 0.037 0.037 0.075
2 Sc 0.249 0.749 0.497
3 Rh 0.751 0.251 0.503
4 Zr 0.463 0.463 0.926

Properties
V	78.1	Å³/cell

Which structure above is the least stable? It is 2).